VASP calculation (GGA-PBE) on a geometry-optimized Mg2ScTl structure.

Energy of formation (kJ per mole of atoms): -7.3
Magnetic moment (μB per cell): 0.000

```
data_Mg2ScTl
_symmetry_space_group_name_H-M 'I 4/m m m'
_symmetry_Int_Tables_number 139
_symmetry_space_group_name_Hall '-I 4 2'
_cell_length_a 4.4074
_cell_length_b 4.4074
_cell_length_c 9.6567
_cell_angle_alpha 90.00
_cell_angle_beta 90.00
_cell_angle_gamma 90.00
loop_
_atom_site_label
_atom_site_type_symbol
_atom_site_fract_x
_atom_site_fract_y
_atom_site_fract_z
Mg1 Mg 0.0000 0.5000 0.2500
Sc1 Sc 0.0000 0.0000 0.0000
Tl1 Tl 0.0000 0.0000 0.5000
```

***

VASP calculation (GGA-PBE) on a geometry-optimized Ta2SiOs structure.

Formation energy from raw total energies (eV/atom): -0.228
Magnetic moment (μB per cell): 0.000

```
data_Ta2SiOs
_symmetry_space_group_name_H-M 'C m m m'
_symmetry_Int_Tables_number 65
_symmetry_space_group_name_Hall '-C 2 2'
_cell_length_a 5.5600
_cell_length_b 7.8070
_cell_length_c 2.9249
_cell_angle_alpha 90.00
_cell_angle_beta 90.00
_cell_angle_gamma 90.00
loop_
_atom_site_label
_atom_site_type_symbol
_atom_site_fract_x
_atom_site_fract_y
_atom_site_fract_z
Ta1 Ta 0.2500 0.2500 0.0000
Si1 Si 0.0000 0.0000 0.5000
Os1 Os 0.0000 0.5000 0.5000
```

***

VASP calculation (GGA-PBE) on a geometry-optimized KRhBrCl2 structure.

Formation energy from raw total energies (eV/atom): -0.889
Magnetic moment (μB per cell): 0.000

```
data_KRhBrCl2
_symmetry_space_group_name_H-M 'P 4/m m m'
_symmetry_Int_Tables_number 123
_symmetry_space_group_name_Hall '-P 4 2'
_cell_length_a 4.9010
_cell_length_b 4.9010
_cell_length_c 5.1800
_cell_angle_alpha 90.00
_cell_angle_beta 90.00
_cell_angle_gamma 90.00
loop_
_atom_site_label
_atom_site_type_symbol
_atom_site_fract_x
_atom_site_fract_y
_atom_site_fract_z
K1 K 0.0000 0.0000 0.0000
Rh1 Rh 0.5000 0.5000 0.5000
Br1 Br 0.5000 0.5000 0.0000
Cl1 Cl 0.0000 0.5000 0.5000
```

***

VASP calculation (GGA-PBE) on a geometry-optimized MnMo3 structure.

Energy of formation (kJ per mole of atoms): 37.8
Magnetic moment (μB per cell): 2.367

```
data_MnMo3
_symmetry_space_group_name_H-M 'P -6 m 2'
_symmetry_Int_Tables_number 187
_symmetry_space_group_name_Hall 'P -6 2'
_cell_length_a 2.7619
_cell_length_b 2.7619
_cell_length_c 9.2635
_cell_angle_alpha 90.00
_cell_angle_beta 90.00
_cell_angle_gamma 120.00
loop_
_atom_site_label
_atom_site_type_symbol
_atom_site_fract_x
_atom_site_fract_y
_atom_site_fract_z
Mn1 Mn 0.0000 0.0000 0.0000
Mo1 Mo 0.0000 0.0000 0.5000
Mo2 Mo 0.3333 0.6667 0.2369
```

***

VASP calculation (GGA-PBE) on a geometry-optimized SrLi2Ca structure.

Energy of formation (kJ per mole of atoms): 4.0
Magnetic moment (μB per cell): 0.000

```
data_SrLi2Ca
_symmetry_space_group_name_H-M 'C 1 m 1'
_symmetry_Int_Tables_number 8
_symmetry_space_group_name_Hall 'C -2y'
_cell_length_a 13.1846
_cell_length_b 4.0060
_cell_length_c 5.7593
_cell_angle_alpha 90.00
_cell_angle_beta 114.80
_cell_angle_gamma 90.00
loop_
_atom_site_label
_atom_site_type_symbol
_atom_site_fract_x
_atom_site_fract_y
_atom_site_fract_z
Sr1 Sr 0.0000 0.0000 0.0000
Li1 Li 0.2662 0.5000 0.2587
Li2 Li 0.4487 0.0000 0.4504
Ca1 Ca 0.2122 0.0000 0.7058
```

***

VASP calculation (GGA-PBE) on a geometry-optimized LaTbSmTh structure.

Energy of formation (kJ per mole of atoms): 2.3
Magnetic moment (μB per cell): 0.000

```
data_LaTbSmTh
_symmetry_space_group_name_H-M 'P 4 m m'
_symmetry_Int_Tables_number 99
_symmetry_space_group_name_Hall 'P 4 -2'
_cell_length_a 3.6157
_cell_length_b 3.6157
_cell_length_c 10.3382
_cell_angle_alpha 90.00
_cell_angle_beta 90.00
_cell_angle_gamma 90.00
loop_
_atom_site_label
_atom_site_type_symbol
_atom_site_fract_x
_atom_site_fract_y
_atom_site_fract_z
La1 La 0.0000 0.0000 0.0000
Tb1 Tb 0.5000 0.5000 0.2617
Sm1 Sm 0.5000 0.5000 0.7327
Th1 Th 0.0000 0.0000 0.4953
```

***

VASP calculation (GGA-PBE) on a geometry-optimized BiRh2Au2 structure.

Energy of formation (kJ per mole of atoms): 25.9
Magnetic moment (μB per cell): 0.000

```
data_BiRh2Au2
_symmetry_space_group_name_H-M 'P 4/m b m'
_symmetry_Int_Tables_number 127
_symmetry_space_group_name_Hall '-P 4 2ab'
_cell_length_a 7.8509
_cell_length_b 7.8509
_cell_length_c 3.0731
_cell_angle_alpha 90.00
_cell_angle_beta 90.00
_cell_angle_gamma 90.00
loop_
_atom_site_label
_atom_site_type_symbol
_atom_site_fract_x
_atom_site_fract_y
_atom_site_fract_z
Bi1 Bi 0.0000 0.0000 0.0000
Rh1 Rh 0.1288 0.3712 0.5000
Au1 Au 0.1642 0.6642 0.0000
```

***

VASP calculation (GGA-PBE) on a geometry-optimized Rb3TlCd structure.

Energy of formation (kJ per mole of atoms): -1.2
Magnetic moment (μB per cell): 0.000

```
data_Rb3TlCd
_symmetry_space_group_name_H-M 'A m a 2'
_symmetry_Int_Tables_number 40
_symmetry_space_group_name_Hall 'A 2 -2a'
_cell_length_a 12.3839
_cell_length_b 11.7058
_cell_length_c 6.7493
_cell_angle_alpha 90.00
_cell_angle_beta 90.00
_cell_angle_gamma 90.00
loop_
_atom_site_label
_atom_site_type_symbol
_atom_site_fract_x
_atom_site_fract_y
_atom_site_fract_z
Rb1 Rb 0.0868 0.1668 0.0000
Rb2 Rb 0.2500 0.3341 0.5019
Tl1 Tl 0.2500 0.0007 0.5026
Cd1 Cd 0.0000 0.0000 0.4993
```

***

VASP calculation (GGA-PBE) on a geometry-optimized Tb3Pm2PuTe6 structure.

Formation energy from raw total energies (eV/atom): -1.323
Magnetic moment (μB per cell): 12.209

```
data_Tb3Pm2PuTe6
_symmetry_space_group_name_H-M 'C 1 2/m 1'
_symmetry_Int_Tables_number 12
_symmetry_space_group_name_Hall '-C 2y'
_cell_length_a 19.2580
_cell_length_b 4.3899
_cell_length_c 8.8694
_cell_angle_alpha 90.00
_cell_angle_beta 103.61
_cell_angle_gamma 90.00
loop_
_atom_site_label
_atom_site_type_symbol
_atom_site_fract_x
_atom_site_fract_y
_atom_site_fract_z
Tb1 Tb 0.0000 0.0000 0.0000
Tb2 Tb 0.1679 0.5000 0.3354
Pm1 Pm 0.1661 0.5000 0.8324
Pu1 Pu 0.0000 0.0000 0.5000
Te1 Te 0.0023 0.5000 0.2487
Te2 Te 0.1651 0.0000 0.0881
Te3 Te 0.1670 0.0000 0.5788
```

***

VASP calculation (GGA-PBE) on a geometry-optimized Li7Cd2In structure.

Energy of formation (kJ per mole of atoms): -13.3
Magnetic moment (μB per cell): 0.000

```
data_Li7Cd2In
_symmetry_space_group_name_H-M 'P 3 m 1'
_symmetry_Int_Tables_number 156
_symmetry_space_group_name_Hall 'P 3 -2"'
_cell_length_a 4.7198
_cell_length_b 4.7198
_cell_length_c 9.7696
_cell_angle_alpha 90.00
_cell_angle_beta 90.00
_cell_angle_gamma 120.00
loop_
_atom_site_label
_atom_site_type_symbol
_atom_site_fract_x
_atom_site_fract_y
_atom_site_fract_z
Li1 Li 0.0000 0.0000 0.0000
Li2 Li 0.0000 0.0000 0.2330
Li3 Li 0.0000 0.0000 0.4799
Li4 Li 0.3333 0.6667 0.2723
Li5 Li 0.3333 0.6667 0.9594
Li6 Li 0.6667 0.3333 0.4523
Li7 Li 0.6667 0.3333 0.8002
Cd1 Cd 0.0000 0.0000 0.7387
Cd2 Cd 0.3333 0.6667 0.6047
In1 In 0.6667 0.3333 0.1294
```

***

VASP calculation (GGA-PBE) on a geometry-optimized SrTa2VCo structure.

Energy of formation (kJ per mole of atoms): 99.2
Magnetic moment (μB per cell): 0.002

```
data_SrTa2VCo
_symmetry_space_group_name_H-M 'P 4/m m m'
_symmetry_Int_Tables_number 123
_symmetry_space_group_name_Hall '-P 4 2'
_cell_length_a 4.7320
_cell_length_b 4.7320
_cell_length_c 4.7181
_cell_angle_alpha 90.00
_cell_angle_beta 90.00
_cell_angle_gamma 90.00
loop_
_atom_site_label
_atom_site_type_symbol
_atom_site_fract_x
_atom_site_fract_y
_atom_site_fract_z
Sr1 Sr 0.0000 0.0000 0.0000
Ta1 Ta 0.0000 0.5000 0.5000
V1 V 0.5000 0.5000 0.5000
Co1 Co 0.5000 0.5000 0.0000
```

***

VASP calculation (GGA-PBE) on a geometry-optimized PrMgZn2Pd2 structure.

Energy of formation (kJ per mole of atoms): -58.0
Magnetic moment (μB per cell): 0.000

```
data_PrMgZn2Pd2
_symmetry_space_group_name_H-M 'P -3 m 1'
_symmetry_Int_Tables_number 164
_symmetry_space_group_name_Hall '-P 3 2"'
_cell_length_a 4.4510
_cell_length_b 4.4510
_cell_length_c 6.7965
_cell_angle_alpha 90.00
_cell_angle_beta 90.00
_cell_angle_gamma 120.00
loop_
_atom_site_label
_atom_site_type_symbol
_atom_site_fract_x
_atom_site_fract_y
_atom_site_fract_z
Pr1 Pr 0.0000 0.0000 0.0000
Mg1 Mg 0.0000 0.0000 0.5000
Zn1 Zn 0.3333 0.6667 0.2978
Pd1 Pd 0.3333 0.6667 0.6987
```

***

VASP calculation (GGA-PBE) on a geometry-optimized MnCr2Pt8 structure.

Energy of formation (kJ per mole of atoms): -18.2
Magnetic moment (μB per cell): 15.352

```
data_MnCr2Pt8
_symmetry_space_group_name_H-M 'I m m m'
_symmetry_Int_Tables_number 71
_symmetry_space_group_name_Hall '-I 2 2'
_cell_length_a 4.0134
_cell_length_b 7.2811
_cell_length_c 11.5995
_cell_angle_alpha 90.00
_cell_angle_beta 90.00
_cell_angle_gamma 90.00
loop_
_atom_site_label
_atom_site_type_symbol
_atom_site_fract_x
_atom_site_fract_y
_atom_site_fract_z
Mn1 Mn 0.0000 0.0000 0.0000
Cr1 Cr 0.0000 0.0000 0.3124
Pt1 Pt 0.0000 0.1921 0.5000
Pt2 Pt 0.0000 0.2726 0.1616
Pt3 Pt 0.0000 0.5000 0.3516
```

***

VASP calculation (GGA-PBE) on a geometry-optimized NdIn2Ag2 structure.

Energy of formation (kJ per mole of atoms): -22.0
Magnetic moment (μB per cell): 0.000

```
data_NdIn2Ag2
_symmetry_space_group_name_H-M 'P -1'
_symmetry_Int_Tables_number 2
_symmetry_space_group_name_Hall '-P 1'
_cell_length_a 5.9569
_cell_length_b 6.5848
_cell_length_c 7.7259
_cell_angle_alpha 86.05
_cell_angle_beta 67.36
_cell_angle_gamma 63.63
loop_
_atom_site_label
_atom_site_type_symbol
_atom_site_fract_x
_atom_site_fract_y
_atom_site_fract_z
Nd1 Nd 0.0895 0.2545 0.2491
In1 In 0.1122 0.1533 0.6827
In2 In 0.4553 0.3416 0.8142
Ag1 Ag 0.2743 0.8250 0.9446
Ag2 Ag 0.4567 0.3237 0.4431
```

***

VASP calculation (GGA-PBE) on a geometry-optimized ReGe3As structure.

Energy of formation (kJ per mole of atoms): 154.9
Magnetic moment (μB per cell): 2.776

```
data_ReGe3As
_symmetry_space_group_name_H-M 'P m -3 m'
_symmetry_Int_Tables_number 221
_symmetry_space_group_name_Hall '-P 4 2 3'
_cell_length_a 4.8090
_cell_length_b 4.8090
_cell_length_c 4.8090
_cell_angle_alpha 90.00
_cell_angle_beta 90.00
_cell_angle_gamma 90.00
loop_
_atom_site_label
_atom_site_type_symbol
_atom_site_fract_x
_atom_site_fract_y
_atom_site_fract_z
Re1 Re 0.0000 0.0000 0.0000
Ge1 Ge 0.0000 0.5000 0.5000
As1 As 0.5000 0.5000 0.5000
```

***

VASP calculation (GGA-PBE) on a geometry-optimized Y5Sb3 structure.

Formation energy from raw total energies (eV/atom): -0.963
Magnetic moment (μB per cell): 1.306

```
data_Y5Sb3
_symmetry_space_group_name_H-M 'P 63/m c m'
_symmetry_Int_Tables_number 193
_symmetry_space_group_name_Hall '-P 6c 2'
_cell_length_a 8.9947
_cell_length_b 8.9947
_cell_length_c 6.3328
_cell_angle_alpha 90.00
_cell_angle_beta 90.00
_cell_angle_gamma 120.00
loop_
_atom_site_label
_atom_site_type_symbol
_atom_site_fract_x
_atom_site_fract_y
_atom_site_fract_z
Y1 Y 0.0000 0.2473 0.2500
Y2 Y 0.3333 0.6667 0.0000
Sb1 Sb 0.0000 0.3886 0.7500
```

***

VASP calculation (GGA-PBE) on a geometry-optimized HfFe2WI structure.

Formation energy from raw total energies (eV/atom): 1.569
Magnetic moment (μB per cell): 2.432

```
data_HfFe2WI
_symmetry_space_group_name_H-M 'P 4/m m m'
_symmetry_Int_Tables_number 123
_symmetry_space_group_name_Hall '-P 4 2'
_cell_length_a 4.4576
_cell_length_b 4.4576
_cell_length_c 5.2171
_cell_angle_alpha 90.00
_cell_angle_beta 90.00
_cell_angle_gamma 90.00
loop_
_atom_site_label
_atom_site_type_symbol
_atom_site_fract_x
_atom_site_fract_y
_atom_site_fract_z
Hf1 Hf 0.0000 0.0000 0.0000
Fe1 Fe 0.0000 0.5000 0.5000
W1 W 0.5000 0.5000 0.5000
I1 I 0.5000 0.5000 0.0000
```

***

VASP calculation (GGA-PBE) on a geometry-optimized ZnSeF structure.

Formation energy from raw total energies (eV/atom): -1.278
Magnetic moment (μB per cell): 0.000

```
data_ZnSeF
_symmetry_space_group_name_H-M 'C 1 2/m 1'
_symmetry_Int_Tables_number 12
_symmetry_space_group_name_Hall '-C 2y'
_cell_length_a 8.5792
_cell_length_b 6.0261
_cell_length_c 5.0540
_cell_angle_alpha 90.00
_cell_angle_beta 102.04
_cell_angle_gamma 90.00
loop_
_atom_site_label
_atom_site_type_symbol
_atom_site_fract_x
_atom_site_fract_y
_atom_site_fract_z
Zn1 Zn 0.0000 0.2497 0.0000
Se1 Se 0.1092 0.0000 0.3825
F1 F 0.1427 0.5000 0.9379
```

***

Number 1: density 5.3 g cm⁻³. Number 2: density 15.2 g cm⁻³. Number 3: density 3.9 g cm⁻³. Number 4: density 9.3 g cm⁻³. Number 5: density 1.7 g cm⁻³. Number 6: density 8.4 g cm⁻³. Number 7: density 14.2 g cm⁻³. Number 8: density 3.9 g cm⁻³. Number 9: density 8.1 g cm⁻³. Number 10: density 3.4 g cm⁻³. Number 11: density 8.8 g cm⁻³. Number 12: density 7.2 g cm⁻³. Number 13: density 16.8 g cm⁻³. Number 14: density 7.9 g cm⁻³. Number 15: density 7.2 g cm⁻³. Number 16: density 6.1 g cm⁻³. Number 17: density 9.6 g cm⁻³. Number 18: density 4.2 g cm⁻³.